1.
# InAg2Ir GGA-PBE optimized geometry
# * size of the total moment: 0.000 μB/f.u.
# * DFT formation energy: 0.117 eV per atom
data_InAg2Ir
_symmetry_space_group_name_H-M 'I -4 m 2'
_symmetry_Int_Tables_number 119
_symmetry_space_group_name_Hall 'I -4 -2'
_cell_length_a 4.283
_cell_length_b 4.283
_cell_length_c 7.640
_cell_angle_alpha 90.00
_cell_angle_beta 90.00
_cell_angle_gamma 90.00
loop_
_atom_site_label
_atom_site_type_symbol
_atom_site_fract_x
_atom_site_fract_y
_atom_site_fract_z
_atom_site_occupancy
In1 In 0.000 0.000 0.000 1
Ag1 Ag 0.000 0.000 0.500 1
Ag2 Ag 0.000 0.500 0.250 1
Ir1 Ir 0.000 0.500 0.750 1



2.
# ErThRh GGA-PBE optimized geometry
# * size of the total moment: 0.000 μB/f.u.
# * DFT formation energy: -0.470 eV per atom
data_ErThRh
_symmetry_space_group_name_H-M 'F -4 3 m'
_symmetry_Int_Tables_number 216
_symmetry_space_group_name_Hall 'F -4 2 3'
_cell_length_a 6.906
_cell_length_b 6.906
_cell_length_c 6.906
_cell_angle_alpha 90.00
_cell_angle_beta 90.00
_cell_angle_gamma 90.00
loop_
_atom_site_label
_atom_site_type_symbol
_atom_site_fract_x
_atom_site_fract_y
_atom_site_fract_z
_atom_site_occupancy
Er1 Er 0.000 0.000 0.000 1
Th1 Th 0.000 0.000 0.500 1
Rh1 Rh 0.250 0.250 0.250 1



3.
# Ce8TlTc2 GGA-PBE optimized geometry
# * size of the total moment: 2.592 μB/f.u.
# * DFT formation energy: -0.033 eV per atom
data_Ce8TlTc2
_symmetry_space_group_name_H-M 'C 1 2/m 1'
_symmetry_Int_Tables_number 12
_symmetry_space_group_name_Hall '-C 2y'
_cell_length_a 8.436
_cell_length_b 13.256
_cell_length_c 5.319
_cell_angle_alpha 90.00
_cell_angle_beta 104.10
_cell_angle_gamma 90.00
loop_
_atom_site_label
_atom_site_type_symbol
_atom_site_fract_x
_atom_site_fract_y
_atom_site_fract_z
_atom_site_occupancy
Ce1 Ce 0.000 0.246 0.000 1
Ce2 Ce 0.078 0.000 0.804 1
Ce3 Ce 0.204 0.390 0.560 1
Tl1 Tl 0.000 0.500 0.000 1
Tc1 Tc 0.000 0.209 0.500 1



4.
# TaTl2Cd GGA-PBE optimized geometry
# * size of the total moment: 0.000 μB/f.u.
# * DFT formation energy: 0.496 eV per atom
data_TaTl2Cd
_symmetry_space_group_name_H-M 'C m m m'
_symmetry_Int_Tables_number 65
_symmetry_space_group_name_Hall '-C 2 2'
_cell_length_a 3.209
_cell_length_b 5.585
_cell_length_c 10.442
_cell_angle_alpha 90.00
_cell_angle_beta 90.00
_cell_angle_gamma 90.00
loop_
_atom_site_label
_atom_site_type_symbol
_atom_site_fract_x
_atom_site_fract_y
_atom_site_fract_z
_atom_site_occupancy
Ta1 Ta 0.000 0.000 0.000 1
Tl1 Tl 0.000 0.500 0.241 1
Cd1 Cd 0.000 0.000 0.500 1



5.
# SiC2O2 GGA-PBE optimized geometry
# * size of the total moment: 0.000 μB/f.u.
# * ΔE_f (raw): -184 meV per atom
data_SiC2O2
_symmetry_space_group_name_H-M 'I m m m'
_symmetry_Int_Tables_number 71
_symmetry_space_group_name_Hall '-I 2 2'
_cell_length_a 2.951
_cell_length_b 7.008
_cell_length_c 13.010
_cell_angle_alpha 90.00
_cell_angle_beta 90.00
_cell_angle_gamma 90.00
loop_
_atom_site_label
_atom_site_type_symbol
_atom_site_fract_x
_atom_site_fract_y
_atom_site_fract_z
_atom_site_occupancy
Si1 Si 0.000 0.000 0.120 1
C1 C 0.000 0.356 0.000 1
C2 C 0.000 0.500 0.082 1
O1 O 0.000 0.164 0.000 1
O2 O 0.000 0.500 0.177 1



6.
# SrTlAsS4 GGA-PBE optimized geometry
# * size of the total moment: 0.000 μB/f.u.
# * ΔE_f (raw): -774 meV per atom
data_SrTlAsS4
_symmetry_space_group_name_H-M 'P 1 21/m 1'
_symmetry_Int_Tables_number 11
_symmetry_space_group_name_Hall '-P 2yb'
_cell_length_a 6.971
_cell_length_b 6.750
_cell_length_c 8.760
_cell_angle_alpha 90.00
_cell_angle_beta 106.10
_cell_angle_gamma 90.00
loop_
_atom_site_label
_atom_site_type_symbol
_atom_site_fract_x
_atom_site_fract_y
_atom_site_fract_z
_atom_site_occupancy
Sr1 Sr 0.241 0.250 0.057 1
Tl1 Tl 0.259 0.250 0.566 1
As1 As 0.215 0.750 0.808 1
S1 S 0.011 0.005 0.765 1
S2 S 0.383 0.750 0.060 1
S3 S 0.408 0.750 0.651 1



7.
# MgTlSnSb GGA-PBE optimized geometry
# * size of the total moment: 0.000 μB/f.u.
# * ΔE_f (raw): 40 meV per atom
data_MgTlSnSb
_symmetry_space_group_name_H-M 'F -4 3 m'
_symmetry_Int_Tables_number 216
_symmetry_space_group_name_Hall 'F -4 2 3'
_cell_length_a 7.560
_cell_length_b 7.560
_cell_length_c 7.560
_cell_angle_alpha 90.00
_cell_angle_beta 90.00
_cell_angle_gamma 90.00
loop_
_atom_site_label
_atom_site_type_symbol
_atom_site_fract_x
_atom_site_fract_y
_atom_site_fract_z
_atom_site_occupancy
Mg1 Mg 0.000 0.000 0.000 1
Tl1 Tl 0.250 0.250 0.750 1
Sn1 Sn 0.000 0.000 0.500 1
Sb1 Sb 0.250 0.250 0.250 1



8.
# ThAl2Zn2Ag GGA-PBE optimized geometry
# * size of the total moment: 0.000 μB/f.u.
# * DFT formation energy: -0.260 eV per atom
data_ThAl2Zn2Ag
_symmetry_space_group_name_H-M 'P -3 m 1'
_symmetry_Int_Tables_number 164
_symmetry_space_group_name_Hall '-P 3 2"'
_cell_length_a 4.3862
_cell_length_b 4.3862
_cell_length_c 6.9451
_cell_angle_alpha 90.00
_cell_angle_beta 90.00
_cell_angle_gamma 120.00
loop_
_atom_site_label
_atom_site_type_symbol
_atom_site_fract_x
_atom_site_fract_y
_atom_site_fract_z
_atom_site_occupancy
Th1 Th 0.0000 0.0000 0.0000 1
Al1 Al 0.3333 0.6667 0.6992 1
Zn1 Zn 0.3333 0.6667 0.2719 1
Ag1 Ag 0.0000 0.0000 0.5000 1



9.
# BeCu2P2 GGA-PBE optimized geometry
# * size of the total moment: 0.000 μB/f.u.
# * DFT formation energy: 0.114 eV per atom
data_BeCu2P2
_symmetry_space_group_name_H-M 'P 4/m b m'
_symmetry_Int_Tables_number 127
_symmetry_space_group_name_Hall '-P 4 2ab'
_cell_length_a 5.763
_cell_length_b 5.763
_cell_length_c 4.274
_cell_angle_alpha 90.00
_cell_angle_beta 90.00
_cell_angle_gamma 90.00
loop_
_atom_site_label
_atom_site_type_symbol
_atom_site_fract_x
_atom_site_fract_y
_atom_site_fract_z
_atom_site_occupancy
Be1 Be 0.000 0.000 0.000 1
Cu1 Cu 0.220 0.280 0.500 1
P1 P 0.134 0.366 0.000 1



10.
# PmB6 GGA-PBE optimized geometry
# * size of the total moment: 0.000 μB/f.u.
# * DFT formation energy: -0.462 eV per atom
data_PmB6
_symmetry_space_group_name_H-M 'P m -3 m'
_symmetry_Int_Tables_number 221
_symmetry_space_group_name_Hall '-P 4 2 3'
_cell_length_a 4.126
_cell_length_b 4.126
_cell_length_c 4.126
_cell_angle_alpha 90.00
_cell_angle_beta 90.00
_cell_angle_gamma 90.00
loop_
_atom_site_label
_atom_site_type_symbol
_atom_site_fract_x
_atom_site_fract_y
_atom_site_fract_z
_atom_site_occupancy
Pm1 Pm 0.000 0.000 0.000 1
B1 B 0.200 0.500 0.500 1



11.
# ReMoPt2 GGA-PBE optimized geometry
# * size of the total moment: 0.000 μB/f.u.
# * DFT formation energy: 0.139 eV per atom
data_ReMoPt2
_symmetry_space_group_name_H-M 'F -4 3 m'
_symmetry_Int_Tables_number 216
_symmetry_space_group_name_Hall 'F -4 2 3'
_cell_length_a 6.305
_cell_length_b 6.305
_cell_length_c 6.305
_cell_angle_alpha 90.00
_cell_angle_beta 90.00
_cell_angle_gamma 90.00
loop_
_atom_site_label
_atom_site_type_symbol
_atom_site_fract_x
_atom_site_fract_y
_atom_site_fract_z
_atom_site_occupancy
Re1 Re 0.000 0.000 0.000 1
Mo1 Mo 0.250 0.250 0.750 1
Pt1 Pt 0.000 0.000 0.500 1
Pt2 Pt 0.250 0.250 0.250 1



12.
# Ca2NbPd2 GGA-PBE optimized geometry
# * size of the total moment: 0.921 μB/f.u.
# * DFT formation energy: -0.207 eV per atom
data_Ca2NbPd2
_symmetry_space_group_name_H-M 'P 4/m b m'
_symmetry_Int_Tables_number 127
_symmetry_space_group_name_Hall '-P 4 2ab'
_cell_length_a 6.953
_cell_length_b 6.953
_cell_length_c 4.659
_cell_angle_alpha 90.00
_cell_angle_beta 90.00
_cell_angle_gamma 90.00
loop_
_atom_site_label
_atom_site_type_symbol
_atom_site_fract_x
_atom_site_fract_y
_atom_site_fract_z
_atom_site_occupancy
Ca1 Ca 0.172 0.328 0.000 1
Nb1 Nb 0.000 0.000 0.500 1
Pd1 Pd 0.139 0.639 0.500 1



13.
# Ca2HfZrP4 GGA-PBE optimized geometry
# * size of the total moment: 0.000 μB/f.u.
# * DFT formation energy: -1.262 eV per atom
data_Ca2HfZrP4
_symmetry_space_group_name_H-M 'P 1 2/m 1'
_symmetry_Int_Tables_number 10
_symmetry_space_group_name_Hall '-P 2y'
_cell_length_a 6.643
_cell_length_b 3.846
_cell_length_c 6.972
_cell_angle_alpha 90.00
_cell_angle_beta 108.55
_cell_angle_gamma 90.00
loop_
_atom_site_label
_atom_site_type_symbol
_atom_site_fract_x
_atom_site_fract_y
_atom_site_fract_z
_atom_site_occupancy
Ca1 Ca 0.000 0.000 0.000 1
Ca2 Ca 0.500 0.500 0.000 1
Hf1 Hf 0.000 0.500 0.500 1
Zr1 Zr 0.500 0.000 0.500 1
P1 P 0.239 0.000 0.723 1
P2 P 0.256 0.500 0.276 1